1.
{"formula": "Cs3HgH", "functional": "PBE-GGA", "state": "optimized geometry", "space_group": "No. 65", "dft_energy_ev_per_atom": -1.3326, "lattice": [[6.154, 0.000, 0.000], [0.000, 7.875, -3.700], [0.000, -0.137, 9.938]], "species": ["Cs", "Cs", "Cs", "Cs", "Cs", "Cs", "H", "H", "Hg", "Hg"], "fractional_positions": [[0.000, 0.862, 0.724], [0.000, 0.138, 0.276], [0.500, 0.263, 0.000], [0.500, 0.737, 0.000], [0.500, 0.000, 0.500], [0.500, 0.500, 0.500], [0.500, 0.121, 0.242], [0.500, 0.879, 0.758], [0.000, 0.365, 0.730], [0.000, 0.635, 0.270]]}

2.
{"formula": "Sc5Al2Co2Cu", "functional": "PBE-GGA", "state": "optimized geometry", "space_group": "No. 127", "e_form_ev_per_atom": -0.3099, "dft_energy_ev_per_atom": -6.0550, "lattice": [[3.280, 0.000, 0.000], [0.000, 10.549, 0.000], [0.000, 0.000, 10.549]], "species": ["Cu", "Cu", "Al", "Al", "Al", "Al", "Sc", "Sc", "Sc", "Sc", "Sc", "Sc", "Sc", "Sc", "Sc", "Sc", "Co", "Co", "Co", "Co"], "fractional_positions": [[0.000, 0.500, 0.500], [0.000, 0.000, 0.000], [0.000, 0.175, 0.325], [0.000, 0.825, 0.675], [0.000, 0.325, 0.825], [0.000, 0.675, 0.175], [0.500, 0.074, 0.799], [0.500, 0.926, 0.201], [0.500, 0.201, 0.074], [0.500, 0.299, 0.574], [0.500, 0.701, 0.426], [0.500, 0.574, 0.701], [0.500, 0.000, 0.500], [0.500, 0.799, 0.926], [0.500, 0.500, 0.000], [0.500, 0.426, 0.299], [0.000, 0.364, 0.136], [0.000, 0.136, 0.636], [0.000, 0.864, 0.364], [0.000, 0.636, 0.864]]}